[1]
# LiCdPb5, optimized geometry, DFT PBE
# Fermi-level density of states in states/eV/f.u.: 4.08
# Total magnetization in Bohr magnetons per cell: 0.0
# ΔE_f in eV/atom: 0.005
# E in eV/atom: -3.05
data_LiCdPb5
_chemical_formula_sum 'Li4 Cd4 Pb20'
_symmetry_space_group_name_H-M 'C 1 2/c 1'
_symmetry_Int_Tables_number 15
_symmetry_space_group_name_Hall '-C 2yc'
_cell_length_a 8.914
_cell_length_b 12.133
_cell_length_c 7.645
_cell_angle_alpha 90.00
_cell_angle_beta 100.87
_cell_angle_gamma 90.00
loop_
_atom_site_label
_atom_site_fract_x
_atom_site_fract_y
_atom_site_fract_z
Li1 0.000 0.192 0.250
Cd1 0.250 0.250 0.000
Pb1 0.000 0.461 0.250
Pb2 0.119 0.291 0.605
Pb3 0.161 0.011 0.921



[2]
# Li7CdPb2, optimized geometry, DFT PBE
# Fermi-level density of states in states/eV/f.u.: 3.79
# Total magnetization in Bohr magnetons per cell: 0.0
# ΔE_f in eV/atom: 0.113
# E in eV/atom: -2.06
data_Li7CdPb2
_chemical_formula_sum 'Li28 Cd4 Pb8'
_symmetry_space_group_name_H-M 'F m -3 m'
_symmetry_Int_Tables_number 225
_symmetry_space_group_name_Hall '-F 4 2 3'
_cell_length_a 9.687
_cell_length_b 9.687
_cell_length_c 9.687
_cell_angle_alpha 90.00
_cell_angle_beta 90.00
_cell_angle_gamma 90.00
loop_
_atom_site_label
_atom_site_fract_x
_atom_site_fract_y
_atom_site_fract_z
Li1 0.000 0.000 0.000
Li2 0.000 0.000 0.244
Cd1 0.000 0.000 0.500
Pb1 0.250 0.250 0.250



[3]
# Li4CdPb, optimized geometry, DFT PBE
# Fermi-level density of states in states/eV/f.u.: 2.23
# Total magnetization in Bohr magnetons per cell: 0.0
# Offset from the most stable computed form in eV/f.u.: 0.06
# ΔE_f in eV/atom: -0.237
# E in eV/atom: -2.28
data_Li4CdPb
_chemical_formula_sum 'Li16 Cd4 Pb4'
_symmetry_space_group_name_H-M 'I m m a'
_symmetry_Int_Tables_number 74
_symmetry_space_group_name_Hall '-I 2b 2'
_cell_length_a 4.923
_cell_length_b 19.122
_cell_length_c 4.915
_cell_angle_alpha 90.00
_cell_angle_beta 90.00
_cell_angle_gamma 90.00
loop_
_atom_site_label
_atom_site_fract_x
_atom_site_fract_y
_atom_site_fract_z
Li1 0.000 0.083 0.003
Li2 0.000 0.163 0.507
Cd1 0.000 0.000 0.500
Pb1 0.000 0.250 0.009



[4]
# LiCd2Pb2, optimized geometry, DFT PBE
# Fermi-level density of states in states/eV/f.u.: 1.62
# Total magnetization in Bohr magnetons per cell: 0.0
# Offset from the most stable computed form in eV/f.u.: 0.60
# ΔE_f in eV/atom: 0.043
# E in eV/atom: -2.19
data_LiCd2Pb2
_chemical_formula_sum 'Li2 Cd4 Pb4'
_symmetry_space_group_name_H-M 'P 4/m b m'
_symmetry_Int_Tables_number 127
_symmetry_space_group_name_Hall '-P 4 2ab'
_cell_length_a 8.514
_cell_length_b 8.514
_cell_length_c 3.823
_cell_angle_alpha 90.00
_cell_angle_beta 90.00
_cell_angle_gamma 90.00
loop_
_atom_site_label
_atom_site_fract_x
_atom_site_fract_y
_atom_site_fract_z
Li1 0.000 0.000 0.000
Cd1 0.129 0.371 0.500
Pb1 0.172 0.672 0.000



[5]
# Li3CdPb3, optimized geometry, DFT PBE
# Fermi-level density of states in states/eV/f.u.: 2.49
# Total magnetization in Bohr magnetons per cell: 0.0
# ΔE_f in eV/atom: -0.177
# E in eV/atom: -2.72
data_Li3CdPb3
_chemical_formula_sum 'Li12 Cd4 Pb12'
_symmetry_space_group_name_H-M 'C 1 2/m 1'
_symmetry_Int_Tables_number 12
_symmetry_space_group_name_Hall '-C 2y'
_cell_length_a 9.909
_cell_length_b 9.935
_cell_length_c 6.677
_cell_angle_alpha 90.00
_cell_angle_beta 90.83
_cell_angle_gamma 90.00
loop_
_atom_site_label
_atom_site_fract_x
_atom_site_fract_y
_atom_site_fract_z
Li1 0.000 0.238 0.000
Li2 0.000 0.250 0.500
Li3 0.240 0.000 0.034
Cd1 0.006 0.000 0.730
Pb1 0.014 0.500 0.251
Pb2 0.249 0.265 0.257



[6]
# Li2CdPb2, optimized geometry, DFT PBE
# Fermi-level density of states in states/eV/f.u.: 1.60
# Total magnetization in Bohr magnetons per cell: 0.0
# Offset from the most stable computed form in eV/f.u.: 0.35
# ΔE_f in eV/atom: -0.092
# E in eV/atom: -2.52
data_Li2CdPb2
_chemical_formula_sum 'Li8 Cd4 Pb8'
_symmetry_space_group_name_H-M 'I b a m'
_symmetry_Int_Tables_number 72
_symmetry_space_group_name_Hall '-I 2 2c'
_cell_length_a 7.551
_cell_length_b 11.431
_cell_length_c 5.913
_cell_angle_alpha 90.00
_cell_angle_beta 90.00
_cell_angle_gamma 90.00
loop_
_atom_site_label
_atom_site_fract_x
_atom_site_fract_y
_atom_site_fract_z
Li1 0.243 0.166 0.000
Cd1 0.000 0.500 0.250
Pb1 0.156 0.093 0.500